A plane-wave DFT calculation with PBE-GGA was carried out for a relaxed structure of LiCoOs2.

Properties
SG: Cm
Energy of formation (eV/atom): 0.2326
Volume (A^3/atom): 12.90

a b c (Å): 4.586 4.586 4.539
angles (deg): 80.79 80.79 33.24
Fractional coordinates of all 4 atoms:
Co 0.489 0.489 0.467
Li 0.244 0.244 0.280
Os 0.007 0.007 0.980
Os 0.760 0.760 0.773